(1)
# Ce2NdIn3

Crystalline Ce2NdIn3 at its relaxed geometry (PBE-GGA, the Alexandria database).

Unit cell a=3.4629 b=3.4629 c=13.9711 alpha=90.00 beta=90.00 gamma=90.00
Last column: nearest neighbours and their distance in Å.
Element x y z (fractional)
Ce  0.5000  0.5000  0.8333  8 In 3.37-3.38, 4 Ce 3.46
Ce  0.5000  0.5000  0.1667  8 In 3.37-3.38, 4 Ce 3.46
Nd  0.5000  0.5000  0.5000  8 In 3.39, 4 Nd 3.46
In  0.0000  0.0000  0.0000  8 Ce 3.38, 4 In 3.46
In  0.0000  0.0000  0.6674  4 Ce 3.37, 4 Nd 3.39, 4 In 3.46
In  0.0000  0.0000  0.3326  4 Ce 3.37, 4 Nd 3.39, 4 In 3.46

Calculated values
uncorrected energy = -27.2 eV per cell
energy relative to the elements = -38 kJ/mol of atoms

(2)
# AlCr3

Crystalline AlCr3 at its relaxed geometry (PBE-GGA, the Alexandria database).

Unit cell a=3.6743 b=3.6743 c=3.6743 alpha=90.00 beta=90.00 gamma=90.00
Last column: nearest neighbours and their distance in Å.
Element x y z (fractional)
Cr  0.0000  0.5000  0.5000  8 Cr 2.60, 4 Al 2.60
Cr  0.5000  0.0000  0.5000  8 Cr 2.60, 4 Al 2.60
Cr  0.5000  0.5000  0.0000  8 Cr 2.60, 4 Al 2.60
Al  0.0000  0.0000  0.0000  12 Cr 2.60

Calculated values
uncorrected energy = -32.0 eV per cell
energy relative to the elements = 14 kJ/mol of atoms

(3)
# BeNi2Ru

Crystalline BeNi2Ru at its relaxed geometry (PBE-GGA, the Alexandria database).

Unit cell a=4.1683 b=4.1683 c=2.6247 alpha=90.00 beta=90.00 gamma=90.00
Last column: nearest neighbours and their distance in Å.
Element x y z (fractional)
Ru  0.5000  0.0000  0.5000  8 Ni 2.46, 2 Ru 2.62
Be  0.0000  0.5000  0.5000  8 Ni 2.46, 2 Be 2.62
Ni  0.0000  0.0000  0.0000  4 Be 2.46, 4 Ru 2.46, 2 Ni 2.62
Ni  0.5000  0.5000  0.0000  4 Be 2.46, 4 Ru 2.46, 2 Ni 2.62

Calculated values
uncorrected energy = -24.2 eV per cell
energy relative to the elements = 8 kJ/mol of atoms

(4)
# AsPbSeBr2

Crystalline AsPbSeBr2 at its relaxed geometry (PBE-GGA, the Alexandria database).

Unit cell a=5.6614 b=5.6614 c=5.9272 alpha=90.00 beta=90.00 gamma=90.00
Last column: nearest neighbours and their distance in Å.
Element x y z (fractional)
Pb  0.0000  0.0000  0.0000  4 Br 2.83, 2 As 2.96
As  0.0000  0.0000  0.5000  2 Pb 2.96
Se  0.5000  0.5000  0.5000  4 As 4.00, 8 Br 4.10
Br  0.0000  0.5000  0.0000  2 Pb 2.83
Br  0.5000  0.0000  0.0000  2 Pb 2.83

Calculated values
uncorrected energy = -12.7 eV per cell
formation energy without anion corrections = 0.50 eV/atom

(5)
# Zr5Hg4

Crystalline Zr5Hg4 at its relaxed geometry (PBE-GGA, the Alexandria database).

Unit cell a=8.7760 b=8.7760 c=5.9562 alpha=90.00 beta=90.00 gamma=60.00
Last column: nearest neighbours and their distance in Å.
Element x y z (fractional)
Hg  0.0000  0.0000  0.0000  2 Hg 2.98, 6 Zr 3.08
Hg  0.0000  0.0000  0.5000  2 Hg 2.98, 6 Zr 3.08
Hg  0.6383  0.3617  0.2500  9 Zr 2.90-3.18
Hg  0.0000  0.6383  0.2500  9 Zr 2.90-3.18
Hg  0.3617  0.0000  0.2500  9 Zr 2.90-3.18
Hg  0.3617  0.6383  0.7500  9 Zr 2.90-3.18
Hg  0.0000  0.3617  0.7500  9 Zr 2.90-3.18
Hg  0.6383  0.0000  0.7500  9 Zr 2.90-3.18
Zr  0.3078  0.6922  0.2500  7 Hg 2.90-3.08
Zr  0.0000  0.3078  0.2500  7 Hg 2.90-3.08
Zr  0.6922  0.0000  0.2500  7 Hg 2.90-3.08
Zr  0.6922  0.3078  0.7500  7 Hg 2.90-3.08
Zr  0.0000  0.6922  0.7500  7 Hg 2.90-3.08
Zr  0.3078  0.0000  0.7500  7 Hg 2.90-3.08
Zr  0.3333  0.3333  0.0000  2 Zr 2.98, 6 Hg 3.18
Zr  0.6667  0.6667  0.5000  2 Zr 2.98, 6 Hg 3.18
Zr  0.6667  0.6667  0.0000  2 Zr 2.98, 6 Hg 3.18
Zr  0.3333  0.3333  0.5000  2 Zr 2.98, 6 Hg 3.18

Calculated values
uncorrected energy = -90.3 eV per cell
energy relative to the elements = -13 kJ/mol of atoms

(6)
# TlIn2SnI5

Crystalline TlIn2SnI5 at its relaxed geometry (PBE-GGA, the Alexandria database).

Unit cell a=4.6662 b=10.3973 c=17.9102 alpha=90.00 beta=90.00 gamma=102.97
Last column: nearest neighbours and their distance in Å.
Element x y z (fractional)
Tl  0.5619  0.1238  0.9389  5 I 3.39-3.55
Tl  0.4381  0.8762  0.4389  5 I 3.39-3.55
In  0.8569  0.7138  0.7550  5 I 3.36-3.69
In  0.0613  0.1226  0.6534  6 I 3.44-3.62
In  0.1431  0.2862  0.2550  5 I 3.36-3.69
In  0.9387  0.8774  0.1534  6 I 3.44-3.62
Sn  0.7468  0.4937  0.5385  6 I 3.11-3.30
Sn  0.2532  0.5063  0.0385  6 I 3.11-3.30
I  0.4053  0.8106  0.0174  1 Sn 3.11, 2 In 3.44, 1 Tl 3.47
I  0.7362  0.4723  0.9167  2 Sn 3.21, 1 Tl 3.55
I  0.4760  0.9519  0.7666  4 In 3.36-3.54, 1 Tl 3.54
I  0.2395  0.4790  0.6660  2 Sn 3.27, 1 In 3.62
I  0.9071  0.8143  0.5715  1 Sn 3.30, 2 Tl 3.39, 2 In 3.44-3.45
I  0.5947  0.1894  0.5174  1 Sn 3.11, 2 In 3.44, 1 Tl 3.47
I  0.2638  0.5277  0.4167  2 Sn 3.21, 1 Tl 3.55
I  0.5240  0.0481  0.2666  4 In 3.36-3.54, 1 Tl 3.54
I  0.7605  0.5210  0.1660  2 Sn 3.27, 1 In 3.62
I  0.0929  0.1857  0.0715  1 Sn 3.30, 2 Tl 3.39, 2 In 3.44-3.45

Calculated values
uncorrected energy = -48.1 eV per cell
formation energy without anion corrections = -0.50 eV/atom

Number 1: total moment 2.27 μB/cell. Number 2: total moment 0.00 μB/cell. Number 3: total moment 0.00 μB/cell. Number 4: total moment 2.03 μB/cell. Number 5: total moment 0.00 μB/cell. Number 6: total moment 0.00 μB/cell.